Compound: BaP
Source: Alexandria
Functional: PBE
Structure: optimized geometry

Summary:
N(E_F): 3.40 states/eV/cell
total moment: 0.00 μB/f.u.

Cell lengths 9.0121, 9.0121, 9.0121 Å; angles 28.44, 28.44, 28.44 degrees
Last column: nearest neighbours and their distance in Å.
Fractional coordinates of all 4 atoms:
Ba  0.9547  0.9547  0.9547  6 P 3.28-3.29
Ba  0.7953  0.7953  0.7953  6 P 3.28-3.29
P  0.5418  0.5418  0.5418  3 P 2.56
P  0.2082  0.2082  0.2082  3 P 2.56


Compound: BaP
Source: Alexandria
Functional: PBE
Structure: optimized geometry

Summary:
N(E_F): 4.32 states/eV/cell
total moment: 0.00 μB/f.u.

Cell lengths 6.1490, 6.1490, 8.8811 Å; angles 65.44, 65.44, 41.19 degrees
Last column: nearest neighbours and their distance in Å.
Fractional coordinates of all 6 atoms:
Ba  0.9169  0.9169  0.9849  4 P 3.24-3.36, 1 Ba 3.55
Ba  0.7633  0.7633  0.6658  7 P 3.29-3.40
Ba  0.5847  0.5847  0.2813  7 P 3.23-3.45, 1 Ba 3.55
P  0.2809  0.2809  0.3675  1 P 2.15
P  0.0847  0.0847  0.5636  1 P 2.15
P  0.2029  0.2029  0.9703  7 Ba 3.24-3.32


Compound: BaP
Source: Alexandria
Functional: PBE
Structure: optimized geometry

Summary:
N(E_F): 4.84 states/eV/cell
total moment: 0.16 μB/f.u.

Cell lengths 4.6331, 6.1114, 8.6814 Å; angles 90.00, 90.00, 90.00 degrees
Last column: nearest neighbours and their distance in Å.
Fractional coordinates of all 8 atoms:
Ba  0.7500  0.8900  0.1825  7 P 3.18-3.52
Ba  0.2500  0.3900  0.3175  7 P 3.18-3.52
Ba  0.7500  0.6100  0.6825  7 P 3.18-3.52
Ba  0.2500  0.1100  0.8175  7 P 3.18-3.52
P  0.7500  0.4198  0.0240  2 P 2.55
P  0.2500  0.9198  0.4760  2 P 2.55
P  0.7500  0.0802  0.5240  2 P 2.55
P  0.2500  0.5802  0.9760  2 P 2.55


Compound: BaP
Source: Alexandria
Functional: PBE
Structure: optimized geometry

Summary:
N(E_F): 3.08 states/eV/cell
total moment: 0.00 μB/f.u.

Cell lengths 5.4437, 5.4437, 5.4437 Å; angles 60.00, 60.00, 60.00 degrees
Last column: nearest neighbours and their distance in Å.
Fractional coordinates of all 4 atoms:
Ba  0.0000  0.0000  0.0000  4 Ba 3.33, 4 P 3.33
Ba  0.2500  0.2500  0.2500  4 Ba 3.33, 4 P 3.33
P  0.5000  0.5000  0.5000  4 P 3.33, 4 Ba 3.33
P  0.7500  0.7500  0.7500  4 P 3.33, 4 Ba 3.33


Compound: BaP
Source: Alexandria
Functional: PBE
Structure: optimized geometry

Summary:
N(E_F): 2.44 states/eV/cell
total moment: 0.00 μB/f.u.

Cell lengths 8.9522, 8.9522, 8.9522 Å; angles 151.75, 152.00, 40.20 degrees
Last column: nearest neighbours and their distance in Å.
Fractional coordinates of all 4 atoms:
Ba  0.3587  0.6087  0.2500  6 P 3.19-3.35
Ba  0.6413  0.3913  0.7500  6 P 3.19-3.35
P  0.7794  0.0294  0.2500  2 P 2.38
P  0.2206  0.9706  0.7500  2 P 2.38


Compound: BaP5
Source: Alexandria
Functional: PBE
Structure: optimized geometry

Summary:
relative energy among the computed polymorphs: 86.0 kJ/mol of formula units
N(E_F): 1.32 states/eV/cell
total moment: 0.00 μB/f.u.

Cell lengths 6.2216, 6.2216, 5.7246 Å; angles 73.53, 73.53, 41.65 degrees
Last column: nearest neighbours and their distance in Å.
Fractional coordinates of all 6 atoms:
Ba  0.9927  0.9927  0.8980  11 P 3.22-3.52
P  0.7274  0.7274  0.7809  3 P 2.22-2.40
P  0.3193  0.3193  0.3012  2 P 2.19-2.20
P  0.3099  0.3099  0.6912  3 P 2.20-2.40
P  0.1299  0.1299  0.3103  3 P 2.19-2.36
P  0.6875  0.6875  0.1851  3 P 2.22-2.36


Ρ
In order: 3.81 4.23 4.55 4.90 3.51 3.46
Unit: Mg/m³
E_tot
In order: -0.15443 -0.16730 -0.16224 -0.13782 -0.16140 -0.18648
Unit: Ha/atom
E_form
In order: -0.54 -0.89 -0.75 -0.08 -0.73 -0.25
Unit: eV/atom